DFT (PBE) results for ZrFeSnW after structural relaxation.

## Properties
Offset from the most stable computed form ... 0.000 eV/atom
Size of the total moment ... 2.147 μB per formula unit

Cell lengths 4.5999, 4.5999, 4.5999 Å; angles 60.00, 60.00, 60.00 degrees
Closest atoms and distances in Å follow each position.
Atoms (fractional coordinates):
Zr: 0.0000 0.0000 0.0000  4 Fe 2.82, 4 W 2.82
Fe: 0.7500 0.7500 0.7500  4 Zr 2.82, 4 Sn 2.82
Sn: 0.5000 0.5000 0.5000  4 Fe 2.82, 4 W 2.82
W: 0.2500 0.2500 0.2500  4 Zr 2.82, 4 Sn 2.82

=====

DFT (PBE) results for Lu4CoBiN2 after structural relaxation.

## Properties
Size of the total moment ... 0.520 μB per formula unit

Cell lengths 3.4369, 3.4369, 14.1969 Å; angles 90.00, 90.00, 120.00 degrees
Closest atoms and distances in Å follow each position.
Atoms (fractional coordinates):
Lu: 0.0000 0.0000 0.1308  3 N 2.55, 3 Co 2.72
Lu: 0.0000 0.0000 0.8692  3 N 2.55, 3 Co 2.72
Lu: 0.6667 0.3333 0.3190  3 N 2.25
Lu: 0.6667 0.3333 0.6810  3 N 2.25
Co: 0.6667 0.3333 0.0000  6 Lu 2.72
Bi: 0.0000 0.0000 0.5000  6 Lu 3.25, 6 Bi 3.44
N: 0.3333 0.6667 0.2437  3 Lu 2.25
N: 0.3333 0.6667 0.7563  3 Lu 2.25

=====

DFT (PBE) results for Er2HfIn after structural relaxation.

## Properties
Size of the total moment ... 0.014 μB per formula unit

Cell lengths 4.6416, 4.6416, 4.6590 Å; angles 90.00, 90.00, 90.00 degrees
Closest atoms and distances in Å follow each position.
Atoms (fractional coordinates):
Er: 0.0000 0.5000 0.0000  4 Er 3.28, 4 Hf 3.29, 4 In 3.29
Er: 0.5000 0.0000 0.0000  4 Er 3.28, 4 Hf 3.29, 4 In 3.29
Hf: 0.0000 0.0000 0.5000  4 In 3.28, 8 Er 3.29
In: 0.5000 0.5000 0.5000  4 Hf 3.28, 8 Er 3.29

=====

DFT (PBE) results for Er3Al3SiNi2 after structural relaxation.

## Properties
Offset from the most stable computed form ... 0.000 eV/atom
Size of the total moment ... 0.006 μB per formula unit

Cell lengths 7.1691, 7.1691, 3.7281 Å; angles 90.00, 90.00, 120.00 degrees
Closest atoms and distances in Å follow each position.
Atoms (fractional coordinates):
Er: 0.0000 0.5949 0.0000  4 Ni 2.87, 1 Si 2.90, 6 Al 3.04-3.16
Er: 0.4051 0.4051 0.0000  4 Ni 2.87, 1 Si 2.90, 6 Al 3.04-3.16
Er: 0.5949 0.0000 0.0000  4 Ni 2.87, 1 Si 2.90, 6 Al 3.04-3.16
Al: 0.0000 0.2602 0.5000  2 Si 2.64, 2 Ni 2.69
Al: 0.2602 0.0000 0.5000  2 Si 2.64, 2 Ni 2.69
Al: 0.7398 0.7398 0.5000  2 Si 2.64, 2 Ni 2.69
Si: 0.0000 0.0000 0.0000  6 Al 2.64, 3 Er 2.90
Ni: 0.3333 0.6667 0.5000  3 Al 2.69, 6 Er 2.87
Ni: 0.6667 0.3333 0.5000  3 Al 2.69, 6 Er 2.87

=====

DFT (PBE) results for ZnCuAgBi after structural relaxation.

## Properties
Offset from the most stable computed form ... 0.000 eV/atom

Cell lengths 4.7992, 4.7992, 4.7992 Å; angles 60.00, 60.00, 60.00 degrees
Closest atoms and distances in Å follow each position.
Atoms (fractional coordinates):
Zn: 0.0000 0.0000 0.0000  4 Cu 2.94, 4 Ag 2.94
Cu: 0.7500 0.7500 0.7500  4 Bi 2.94, 4 Zn 2.94
Ag: 0.2500 0.2500 0.2500  4 Bi 2.94, 4 Zn 2.94
Bi: 0.5000 0.5000 0.5000  4 Cu 2.94, 4 Ag 2.94

=====

DFT (PBE) results for TaInCuSe2S after structural relaxation.

## Properties
Size of the total moment ... 0.030 μB per formula unit

Cell lengths 7.5916, 7.5916, 9.5672 Å; angles 90.00, 90.00, 152.74 degrees
Closest atoms and distances in Å follow each position.
Atoms (fractional coordinates):
Ta: 0.0000 0.0000 0.0000  2 S 2.55, 4 Se 2.65
Ta: 0.0000 0.0000 0.5000  2 S 2.55, 4 Se 2.65
In: 0.2640 0.7360 0.7500  2 S 3.15, 6 Se 3.22-3.32
In: 0.7360 0.2640 0.2500  2 S 3.15, 6 Se 3.22-3.32
Cu: 0.4630 0.5370 0.2500  2 S 2.29, 2 Se 2.40
Cu: 0.5370 0.4630 0.7500  2 S 2.29, 2 Se 2.40
Se: 0.3705 0.6295 0.0439  1 Cu 2.40, 2 Ta 2.65
Se: 0.3705 0.6295 0.4561  1 Cu 2.40, 2 Ta 2.65
Se: 0.6295 0.3705 0.5439  1 Cu 2.40, 2 Ta 2.65
Se: 0.6295 0.3705 0.9561  1 Cu 2.40, 2 Ta 2.65
S: 0.0601 0.9399 0.2500  2 Cu 2.29, 2 Ta 2.55
S: 0.9399 0.0601 0.7500  2 Cu 2.29, 2 Ta 2.55

=====

DFT (PBE) results for SrTcO3 after structural relaxation.

## Properties
Size of the total moment ... 2.042 μB per formula unit

Cell lengths 5.3763, 5.3763, 7.5537 Å; angles 90.00, 90.00, 145.61 degrees
Closest atoms and distances in Å follow each position.
Atoms (fractional coordinates):
Sr: 0.2466 0.7534 0.7500  8 O 2.52-2.57
Sr: 0.7534 0.2466 0.2500  8 O 2.52-2.57
Tc: 0.5000 0.5000 0.0000  6 O 1.98-2.08
Tc: 0.5000 0.5000 0.5000  6 O 1.98-2.08
O: 0.1254 0.8746 0.0479  2 Tc 2.08
O: 0.1254 0.8746 0.4521  2 Tc 2.08
O: 0.4434 0.5566 0.2500  2 Tc 1.98
O: 0.5566 0.4434 0.7500  2 Tc 1.98
O: 0.8746 0.1254 0.5479  2 Tc 2.08
O: 0.8746 0.1254 0.9521  2 Tc 2.08

=====

DFT (PBE) results for Ho3Er4Te2Pd2 after structural relaxation.

## Properties
Size of the total moment ... 0.017 μB per formula unit

Cell lengths 9.3868, 9.3868, 9.3868 Å; angles 155.89, 66.98, 118.57 degrees
Closest atoms and distances in Å follow each position.
Atoms (fractional coordinates):
Ho: 0.0000 0.0000 0.0000  3 Te 3.20-3.21
Ho: 0.4537 0.5827 0.8710  2 Pd 2.88, 3 Te 3.12-3.18
Ho: 0.7117 0.5827 0.1290  2 Pd 2.88, 3 Te 3.12-3.18
Er: 0.0582 0.3760 0.6822  2 Pd 2.84, 1 Te 3.15
Er: 0.0906 0.7351 0.3554  2 Pd 2.90, 2 Te 3.14
Er: 0.3797 0.7351 0.6446  2 Pd 2.90, 2 Te 3.14
Er: 0.6938 0.3760 0.3178  2 Pd 2.84, 1 Te 3.15
Te: 0.3352 0.3352 0.0000  3 Ho 3.12-3.21, 4 Er 3.14
Te: 0.7361 0.2361 0.5000  2 Er 3.15, 6 Ho 3.18-3.20
Pd: 0.3077 0.0710 0.2367  4 Er 2.84-2.90, 2 Ho 2.88
Pd: 0.8343 0.0710 0.7633  4 Er 2.84-2.90, 2 Ho 2.88

=====

| no. | total energy (eV/atom) |
| --- | --- |
| 1 | -8.1985 |
| 2 | -6.6963 |
| 3 | -5.5895 |
| 4 | -5.1762 |
| 5 | -2.7137 |
| 6 | -5.3957 |
| 7 | -7.3320 |
| 8 | -5.2710 |